The following is a DFT calculation (PBE) of crystalline ScAlAs3 at its relaxed geometry.

As for the relative energy among the computed polymorphs: 0.137 eV/atom. For the formation energy, the calculation gives 0.3130 eV/atom.

abc: 5.084 5.084 5.084
angles: 90.00 90.00 90.00
Fractional positions:
Sc (0.000, 0.000, 0.000)
Al (0.500, 0.500, 0.500)
As (0.000, 0.000, 0.500)
As (0.000, 0.500, 0.000)
As (0.500, 0.000, 0.000)

The following is a DFT calculation (PBE) of crystalline ScAl2As2 at its relaxed geometry.

For the formation energy, the calculation gives -0.2623 eV/atom.

abc: 4.934 4.934 8.279
angles: 90.00 90.00 90.00
Fractional positions:
Sc (0.000, 0.000, 0.000)
Sc (0.500, 0.500, 0.500)
Al (0.000, 0.000, 0.347)
Al (0.000, 0.000, 0.653)
Al (0.500, 0.500, 0.153)
Al (0.500, 0.500, 0.847)
As (0.000, 0.500, 0.250)
As (0.000, 0.500, 0.750)
As (0.500, 0.000, 0.250)
As (0.500, 0.000, 0.750)

The following is a DFT calculation (PBE) of crystalline ScAlAs2 at its relaxed geometry.

For the formation energy, the calculation gives -0.5012 eV/atom.

abc: 3.585 3.585 5.799
angles: 90.00 90.00 90.00
Fractional positions:
Sc (0.000, 0.000, 0.000)
Al (0.000, 0.000, 0.500)
As (0.500, 0.500, 0.240)
As (0.500, 0.500, 0.760)

The following is a DFT calculation (PBE) of crystalline Sc6AlAs2Se3 at its relaxed geometry.

The calculation puts the formation energy without anion corrections at -1305 meV/atom.

abc: 8.750 8.750 7.912
angles: 103.71 103.71 25.30
Fractional positions:
Sc (0.001, 0.001, 0.255)
Sc (0.329, 0.329, 0.425)
Sc (0.333, 0.333, 0.911)
Sc (0.667, 0.667, 0.089)
Sc (0.671, 0.671, 0.575)
Sc (0.999, 0.999, 0.745)
Al (0.500, 0.500, 0.000)
As (0.166, 0.166, 0.332)
As (0.834, 0.834, 0.668)
Se (0.168, 0.168, 0.831)
Se (0.500, 0.500, 0.500)
Se (0.832, 0.832, 0.169)

The following is a DFT calculation (PBE) of crystalline AlAs2Se at its relaxed geometry.

As for the relative energy among the computed polymorphs: 0.383 eV/atom. The calculation puts the formation energy without anion corrections at 120 meV/atom.

abc: 3.488 4.260 10.700
angles: 90.00 90.00 90.00
Fractional positions:
Al (0.000, 0.000, 0.000)
Al (0.500, 0.500, 0.500)
As (0.000, 0.500, 0.304)
As (0.000, 0.500, 0.696)
As (0.500, 0.000, 0.196)
As (0.500, 0.000, 0.804)
Se (0.000, 0.000, 0.500)
Se (0.500, 0.500, 0.000)

The following is a DFT calculation (PBE) of crystalline AlAs2Se at its relaxed geometry.

As for the relative energy among the computed polymorphs: 0.412 eV/atom. The calculation puts the formation energy without anion corrections at 149 meV/atom.

abc: 3.647 3.647 7.543
angles: 90.00 90.00 90.00
Fractional positions:
Al (0.000, 0.000, 0.000)
As (0.000, 0.500, 0.500)
As (0.500, 0.000, 0.500)
Se (0.500, 0.500, 0.000)

The following is a DFT calculation (PBE) of crystalline AlAs2Se at its relaxed geometry.

As for the relative energy among the computed polymorphs: 0.413 eV/atom. The calculation puts the formation energy without anion corrections at 150 meV/atom.

abc: 3.641 3.641 14.776
angles: 90.00 90.00 90.00
Fractional positions:
Al (0.000, 0.000, 0.000)
Al (0.500, 0.500, 0.500)
As (0.000, 0.500, 0.250)
As (0.000, 0.500, 0.750)
As (0.500, 0.000, 0.250)
As (0.500, 0.000, 0.750)
Se (0.000, 0.000, 0.500)
Se (0.500, 0.500, 0.000)

The following is a DFT calculation (PBE) of crystalline AlAs2Se at its relaxed geometry.

As for the relative energy among the computed polymorphs: 0.029 eV/atom. The calculation puts the formation energy without anion corrections at -235 meV/atom.

abc: 3.723 3.866 15.606
angles: 90.00 90.00 90.00
Fractional positions:
Al (0.000, 0.000, 0.000)
Al (0.500, 0.500, 0.500)
As (0.000, 0.000, 0.705)
As (0.000, 0.500, 0.102)
As (0.500, 0.000, 0.602)
As (0.500, 0.500, 0.205)
Se (0.000, 0.500, 0.408)
Se (0.500, 0.000, 0.908)

What is the formula in the seventh record? AlAs2Se